[1]
# La4RuBr, relaxed, DFT PBE
# E_form (uncorrected) ... -0.52 eV per atom
# Total magnetic moment ... 0.00 μB/f.u.
# E ... -5.633 eV/atom
data_La4RuBr
_chemical_formula_sum 'La16 Ru4 Br4'
_cell_length_a 8.698
_cell_length_b 15.831
_cell_length_c 7.100
_cell_angle_alpha 90.00
_cell_angle_beta 121.89
_cell_angle_gamma 90.00
_space_group_name_H-M_alt 'C 1 2/c 1'
_space_group_IT_number 15
_space_group_name_Hall '-C 2yc'
loop_
_atom_site_label
_atom_site_type_symbol
_atom_site_fract_x
_atom_site_fract_y
_atom_site_fract_z
La1 La 0.207 0.067 0.210
La2 La 0.222 0.195 0.735
Ru1 Ru 0.000 0.077 0.750
Br1 Br 0.000 0.438 0.250

[2]
# LaRu3Br, relaxed, DFT PBE
# E_form (uncorrected) ... 0.77 eV per atom
# Total magnetic moment ... 1.30 μB/f.u.
# E ... -6.114 eV/atom
data_LaRu3Br
_chemical_formula_sum 'La1 Ru3 Br1'
_cell_length_a 4.664
_cell_length_b 4.664
_cell_length_c 4.664
_cell_angle_alpha 90.00
_cell_angle_beta 90.00
_cell_angle_gamma 90.00
_space_group_name_H-M_alt 'P m -3 m'
_space_group_IT_number 221
_space_group_name_Hall '-P 4 2 3'
loop_
_atom_site_label
_atom_site_type_symbol
_atom_site_fract_x
_atom_site_fract_y
_atom_site_fract_z
La1 La 0.000 0.000 0.000
Ru1 Ru 0.000 0.500 0.500
Br1 Br 0.500 0.500 0.500

- Among the records above, which one has the highest E?
  La4RuBr